(1)
Mn2AgCl: relaxed, PBE.

## Properties
Space group ... Cmmm
Crystal system ... orthorhombic

Geometry as POSCAR:
```
Mn2AgCl
1.0
6.874 0.000 0.000
-2.781 4.047 0.000
1.311 0.905 2.551
Ag Mn Cl
1 2 1
Cartesian
-0.735 2.476 1.275
0.000 0.000 0.000
4.092 0.453 1.276
2.046 2.024 0.000
```

(2)
SiP2Se: relaxed, PBE.

## Properties
Space group ... Cmm2
Crystal system ... orthorhombic

Geometry as POSCAR:
```
SiP2Se
1.0
-1.310 -2.145 -2.080
0.495 -0.885 3.101
-10.419 3.723 2.724
P Si Se
2 1 1
Cartesian
-0.562 0.201 0.147
-2.296 -0.840 1.004
-7.770 1.116 2.435
-5.817 2.079 1.520
```

Here are the calculated offset from the most stable computed form numbers, same order: 229, 520 (meV per atom).
Here are the calculated formation energy from raw total energies numbers, same order: 0.337, 0.468 (eV/atom).